[1]
Below is Y2AlZn4Ga3 after structural relaxation, with properties calculated at the PBE level.

## Properties
**Energy of formation**: -4.31 eV/f.u.
**Total moment**: 0.00 Bohr magnetons per cell
**Space group**: P-4m2
**Electronic total energy**: -35.16 eV for the cell shown

a b c (Å): 4.1350 4.1350 10.7642
angles (deg): 90.00 90.00 90.00
Atoms (fractional coordinates):
Y (0.0000, 0.5000, 0.2481)
Y (0.5000, 0.0000, 0.7519)
Al (0.0000, 0.0000, 0.5000)
Zn (0.0000, 0.0000, 0.0000)
Zn (0.0000, 0.5000, 0.6404)
Zn (0.5000, 0.0000, 0.3596)
Zn (0.5000, 0.5000, 0.0000)
Ga (0.0000, 0.5000, 0.8629)
Ga (0.5000, 0.0000, 0.1371)
Ga (0.5000, 0.5000, 0.5000)

=====

[2]
Below is Ba3PSe after structural relaxation, with properties calculated at the PBE level.

## Properties
**Total moment**: 0.00 Bohr magnetons per cell
**Space group**: Pm-3m
**Polymorph energy (0 for the lowest one)**: 151 kJ/mol of formula units
**Electronic total energy**: -18.93 eV for the cell shown

a b c (Å): 6.1152 6.1152 6.1152
angles (deg): 90.00 90.00 90.00
Atoms (fractional coordinates):
Ba (0.0000, 0.0000, 0.5000)
Ba (0.0000, 0.5000, 0.0000)
Ba (0.5000, 0.0000, 0.0000)
P (0.0000, 0.0000, 0.0000)
Se (0.5000, 0.5000, 0.5000)

=====

[3]
Below is WAu2 after structural relaxation, with properties calculated at the PBE level.

## Properties
**Energy of formation**: 1.58 eV/f.u.
**Total moment**: 0.00 Bohr magnetons per cell
**Space group**: Cmcm
**Electronic total energy**: -35.86 eV for the cell shown

a b c (Å): 7.6450 7.6450 4.7763
angles (deg): 90.00 90.00 158.50
Atoms (fractional coordinates):
W (0.1125, 0.8875, 0.7500)
W (0.8875, 0.1125, 0.2500)
Au (0.2215, 0.7785, 0.2500)
Au (0.4472, 0.5528, 0.7500)
Au (0.5528, 0.4472, 0.2500)
Au (0.7785, 0.2215, 0.7500)

=====

[4]
Below is ScCoSe after structural relaxation, with properties calculated at the PBE level.

## Properties
**Total moment**: 0.03 Bohr magnetons per cell
**Space group**: I4mm
**Electronic total energy**: -18.29 eV for the cell shown

a b c (Å): 4.7202 4.7202 4.7202
angles (deg): 136.27 136.27 63.57
Atoms (fractional coordinates):
Sc (0.0000, 0.0000, 0.0000)
Co (0.3653, 0.3653, 0.0000)
Se (0.6615, 0.6615, 0.0000)

=====

[5]
Below is Ho2ScAl after structural relaxation, with properties calculated at the PBE level.

## Properties
**Energy of formation**: -0.22 eV/f.u.
**Total moment**: 0.73 Bohr magnetons per cell
**Space group**: R3m
**Polymorph energy (0 for the lowest one)**: 57 kJ/mol of formula units
**Electronic total energy**: -19.44 eV for the cell shown

a b c (Å): 10.3470 10.3470 10.3470
angles (deg): 19.36 19.36 19.36
Atoms (fractional coordinates):
Ho (0.0000, 0.0000, 0.0000)
Ho (0.1809, 0.1809, 0.1809)
Sc (0.7569, 0.7569, 0.7569)
Al (0.5907, 0.5907, 0.5907)

=====

[6]
Below is Pr2Ga3GePd4 after structural relaxation, with properties calculated at the PBE level.

## Properties
**Energy of formation**: -8.06 eV/f.u.
**Total moment**: 0.00 Bohr magnetons per cell
**Space group**: P-4m2
**Electronic total energy**: -52.08 eV for the cell shown

a b c (Å): 4.3808 4.3808 10.2140
angles (deg): 90.00 90.00 90.00
Atoms (fractional coordinates):
Pr (0.0000, 0.5000, 0.2447)
Pr (0.5000, 0.0000, 0.7553)
Ga (0.0000, 0.0000, 0.0000)
Ga (0.0000, 0.5000, 0.6270)
Ga (0.5000, 0.0000, 0.3730)
Ge (0.5000, 0.5000, 0.0000)
Pd (0.0000, 0.0000, 0.5000)
Pd (0.0000, 0.5000, 0.8714)
Pd (0.5000, 0.0000, 0.1286)
Pd (0.5000, 0.5000, 0.5000)